(a)
Below is a relaxed structure of SrAl2Br, with properties calculated at the GGA-PBEsol level.

V = 109.7 Å³/cell

The structure in CIF format:
```
data_SrAl2Br
_cell_length_a 3.718
_cell_length_b 6.571
_cell_length_c 4.491
_cell_angle_alpha 90.00
_cell_angle_beta 90.14
_cell_angle_gamma 90.00
_symmetry_space_group_name_H-M 'P 1 2/m 1'
_symmetry_Int_Tables_number 10
loop_
_symmetry_equiv_pos_as_xyz
'x,y,z'
'-x,-y,-z'
'-x,y,-z'
'x,-y,z'
loop_
_atom_site_label
_atom_site_fract_x
_atom_site_fract_y
_atom_site_fract_z
Sr1 0.000 0.000 0.000
Al1 0.258 0.500 0.764
Br1 0.500 0.000 0.500
```

(b)
Below is a relaxed structure of SrAl2Br, with properties calculated at the GGA-PBEsol level.

V = 445.9 Å³/cell

The structure in CIF format:
```
data_SrAl2Br
_cell_length_a 4.115
_cell_length_b 4.115
_cell_length_c 26.338
_cell_angle_alpha 90.00
_cell_angle_beta 90.00
_cell_angle_gamma 90.00
_symmetry_space_group_name_H-M 'I -4 2 d'
_symmetry_Int_Tables_number 122
_symmetry_space_group_name_Hall 'I -4 2bw'
loop_
_atom_site_label
_atom_site_fract_x
_atom_site_fract_y
_atom_site_fract_z
Sr1 0.000 0.000 0.000
Al1 0.234 0.250 0.125
Br1 0.000 0.000 0.500
```

Most stable: (a). Least stable: (b).

(a)
Below is a relaxed structure of SrAlBr2, with properties calculated at the GGA-PBEsol level.

V = 525.7 Å³/cell

The structure in CIF format:
```
data_SrAlBr2
_cell_length_a 5.241
_cell_length_b 5.241
_cell_length_c 19.135
_cell_angle_alpha 90.00
_cell_angle_beta 90.00
_cell_angle_gamma 90.00
_symmetry_space_group_name_H-M 'I -4 2 d'
_symmetry_Int_Tables_number 122
_symmetry_space_group_name_Hall 'I -4 2bw'
loop_
_atom_site_label
_atom_site_fract_x
_atom_site_fract_y
_atom_site_fract_z
Sr1 0.000 0.000 0.000
Al1 0.000 0.000 0.500
Br1 0.247 0.250 0.625
```

(b)
Below is a relaxed structure of SrAlBr2, with properties calculated at the GGA-PBEsol level.

V = 123.7 Å³/cell

The structure in CIF format:
```
data_SrAlBr2
_cell_length_a 3.645
_cell_length_b 3.681
_cell_length_c 9.220
_cell_angle_alpha 90.00
_cell_angle_beta 90.38
_cell_angle_gamma 90.00
_symmetry_space_group_name_H-M 'P 1 2/m 1'
_symmetry_Int_Tables_number 10
loop_
_symmetry_equiv_pos_as_xyz
'x,y,z'
'-x,-y,-z'
'-x,y,-z'
'x,-y,z'
loop_
_atom_site_label
_atom_site_fract_x
_atom_site_fract_y
_atom_site_fract_z
Sr1 0.000 0.000 0.000
Al1 0.500 0.000 0.500
Br1 0.497 0.500 0.811
```

Most stable: (b). Least stable: (a).

(a)
Below is a relaxed structure of TaAlBr2, with properties calculated at the GGA-PBEsol level.

V = 250.5 Å³/cell

The structure in CIF format:
```
data_TaAlBr2
_cell_length_a 3.1886
_cell_length_b 3.1886
_cell_length_c 28.4443
_cell_angle_alpha 90.00
_cell_angle_beta 90.00
_cell_angle_gamma 120.00
_symmetry_space_group_name_H-M 'R -3 m'
_symmetry_Int_Tables_number 166
_symmetry_space_group_name_Hall '-R 3 2"'
loop_
_atom_site_label
_atom_site_fract_x
_atom_site_fract_y
_atom_site_fract_z
Ta1 0.0000 0.0000 0.0000
Al1 0.0000 0.0000 0.5000
Br1 0.0000 0.0000 0.2656
```

(b)
Below is a relaxed structure of TaAlBr2, with properties calculated at the GGA-PBEsol level.

V = 75.8 Å³/cell

The structure in CIF format:
```
data_TaAlBr2
_cell_length_a 4.958
_cell_length_b 4.958
_cell_length_c 3.086
_cell_angle_alpha 90.00
_cell_angle_beta 90.00
_cell_angle_gamma 90.00
_symmetry_space_group_name_H-M 'P 4/m m m'
_symmetry_Int_Tables_number 123
_symmetry_space_group_name_Hall '-P 4 2'
loop_
_atom_site_label
_atom_site_fract_x
_atom_site_fract_y
_atom_site_fract_z
Ta1 0.000 0.000 0.000
Al1 0.500 0.500 0.000
Br1 0.000 0.500 0.500
```

(c)
Below is a relaxed structure of TaAlBr2, with properties calculated at the GGA-PBEsol level.

V = 157.0 Å³/cell

The structure in CIF format:
```
data_TaAlBr2
_cell_length_a 6.102
_cell_length_b 8.251
_cell_length_c 3.119
_cell_angle_alpha 90.00
_cell_angle_beta 90.00
_cell_angle_gamma 90.00
_symmetry_space_group_name_H-M 'C m m m'
_symmetry_Int_Tables_number 65
_symmetry_space_group_name_Hall '-C 2 2'
loop_
_atom_site_label
_atom_site_fract_x
_atom_site_fract_y
_atom_site_fract_z
Ta1 0.000 0.000 0.000
Al1 0.000 0.500 0.000
Br1 0.250 0.250 0.500
```

(d)
Below is a relaxed structure of TaAlBr2, with properties calculated at the GGA-PBEsol level.

V = 198.4 Å³/cell

The structure in CIF format:
```
data_TaAlBr2
_cell_length_a 3.158
_cell_length_b 4.598
_cell_length_c 13.663
_cell_angle_alpha 90.00
_cell_angle_beta 90.00
_cell_angle_gamma 90.00
_symmetry_space_group_name_H-M 'I m m m'
_symmetry_Int_Tables_number 71
_symmetry_space_group_name_Hall '-I 2 2'
loop_
_atom_site_label
_atom_site_fract_x
_atom_site_fract_y
_atom_site_fract_z
Ta1 0.000 0.000 0.000
Al1 0.000 0.000 0.500
Br1 0.000 0.500 0.344
```

Most stable: (d). Least stable: (b).

(a)
Below is a relaxed structure of AlTlBr, with properties calculated at the GGA-PBEsol level.

V = 358.2 Å³/cell

The structure in CIF format:
```
data_AlTlBr
_cell_length_a 7.102
_cell_length_b 7.102
_cell_length_c 7.102
_cell_angle_alpha 90.00
_cell_angle_beta 90.00
_cell_angle_gamma 90.00
_symmetry_space_group_name_H-M 'F -4 3 m'
_symmetry_Int_Tables_number 216
_symmetry_space_group_name_Hall 'F -4 2 3'
loop_
_atom_site_label
_atom_site_fract_x
_atom_site_fract_y
_atom_site_fract_z
Al1 0.000 0.000 0.000
Tl1 0.250 0.250 0.250
Br1 0.250 0.250 0.750
```

(b)
Below is a relaxed structure of AlTlBr, with properties calculated at the GGA-PBEsol level.

V = 151.3 Å³/cell

The structure in CIF format:
```
data_AlTlBr
_cell_length_a 3.611
_cell_length_b 3.611
_cell_length_c 11.605
_cell_angle_alpha 90.00
_cell_angle_beta 90.00
_cell_angle_gamma 90.00
_symmetry_space_group_name_H-M 'I 4 m m'
_symmetry_Int_Tables_number 107
_symmetry_space_group_name_Hall 'I 4 -2'
loop_
_atom_site_label
_atom_site_fract_x
_atom_site_fract_y
_atom_site_fract_z
Al1 0.000 0.000 0.000
Tl1 0.000 0.000 0.345
Br1 0.000 0.000 0.633
```

Most stable: (b). Least stable: (a).

(a)
Below is a relaxed structure of Al2WBr, with properties calculated at the GGA-PBEsol level.

V = 135.3 Å³/cell

The structure in CIF format:
```
data_Al2WBr
_cell_length_a 9.822
_cell_length_b 2.900
_cell_length_c 4.785
_cell_angle_alpha 90.00
_cell_angle_beta 97.04
_cell_angle_gamma 90.00
_symmetry_space_group_name_H-M 'C 1 2/m 1'
_symmetry_Int_Tables_number 12
loop_
_symmetry_equiv_pos_as_xyz
'x,y,z'
'-x,-y,-z'
'-x,y,-z'
'x,-y,z'
'x+1/2,y+1/2,z'
'-x+1/2,-y+1/2,-z'
'-x+1/2,y+1/2,-z'
'x+1/2,-y+1/2,z'
loop_
_atom_site_label
_atom_site_fract_x
_atom_site_fract_y
_atom_site_fract_z
Al1 0.231 0.000 0.232
W1 0.000 0.500 0.000
Br1 0.000 0.000 0.500
```

(b)
Below is a relaxed structure of Al2WBr, with properties calculated at the GGA-PBEsol level.

V = 134.3 Å³/cell

The structure in CIF format:
```
data_Al2WBr
_cell_length_a 4.132
_cell_length_b 4.132
_cell_length_c 7.866
_cell_angle_alpha 90.00
_cell_angle_beta 90.00
_cell_angle_gamma 90.00
_symmetry_space_group_name_H-M 'I -4 m 2'
_symmetry_Int_Tables_number 119
_symmetry_space_group_name_Hall 'I -4 -2'
loop_
_atom_site_label
_atom_site_fract_x
_atom_site_fract_y
_atom_site_fract_z
Al1 0.000 0.000 0.000
Al2 0.000 0.500 0.250
W1 0.000 0.500 0.750
Br1 0.000 0.000 0.500
```

(c)
Below is a relaxed structure of Al2WBr, with properties calculated at the GGA-PBEsol level.

V = 71.2 Å³/cell

The structure in CIF format:
```
data_Al2WBr
_cell_length_a 2.916
_cell_length_b 4.480
_cell_length_c 5.449
_cell_angle_alpha 90.00
_cell_angle_beta 90.00
_cell_angle_gamma 90.00
_symmetry_space_group_name_H-M 'P m m 2'
_symmetry_Int_Tables_number 25
loop_
_symmetry_equiv_pos_as_xyz
'x,y,z'
'-x,-y,z'
'-x,y,z'
'x,-y,z'
loop_
_atom_site_label
_atom_site_fract_x
_atom_site_fract_y
_atom_site_fract_z
Al1 0.000 0.000 0.000
Al2 0.500 0.500 0.328
W1 0.500 0.500 0.857
Br1 0.000 0.000 0.491
```

Most stable: (a). Least stable: (b).

(a)
Below is a relaxed structure of AlW2Br, with properties calculated at the GGA-PBEsol level.

V = 133.7 Å³/cell

The structure in CIF format:
```
data_AlW2Br
_cell_length_a 2.848
_cell_length_b 4.950
_cell_length_c 9.482
_cell_angle_alpha 90.00
_cell_angle_beta 90.00
_cell_angle_gamma 90.00
_symmetry_space_group_name_H-M 'I m m m'
_symmetry_Int_Tables_number 71
_symmetry_space_group_name_Hall '-I 2 2'
loop_
_atom_site_label
_atom_site_fract_x
_atom_site_fract_y
_atom_site_fract_z
Al1 0.000 0.000 0.000
W1 0.000 0.500 0.250
Br1 0.000 0.000 0.500
```

(b)
Below is a relaxed structure of AlW2Br, with properties calculated at the GGA-PBEsol level.

V = 62.5 Å³/cell

The structure in CIF format:
```
data_AlW2Br
_cell_length_a 4.648
_cell_length_b 4.648
_cell_length_c 2.893
_cell_angle_alpha 90.00
_cell_angle_beta 90.00
_cell_angle_gamma 90.00
_symmetry_space_group_name_H-M 'P 4/m m m'
_symmetry_Int_Tables_number 123
_symmetry_space_group_name_Hall '-P 4 2'
loop_
_atom_site_label
_atom_site_fract_x
_atom_site_fract_y
_atom_site_fract_z
Al1 0.000 0.000 0.000
W1 0.000 0.500 0.500
Br1 0.500 0.500 0.000
```

(c)
Below is a relaxed structure of AlW2Br, with properties calculated at the GGA-PBEsol level.

V = 193.3 Å³/cell

The structure in CIF format:
```
data_AlW2Br
_cell_length_a 2.8951
_cell_length_b 2.8951
_cell_length_c 26.6242
_cell_angle_alpha 90.00
_cell_angle_beta 90.00
_cell_angle_gamma 120.00
_symmetry_space_group_name_H-M 'R -3 m'
_symmetry_Int_Tables_number 166
_symmetry_space_group_name_Hall '-R 3 2"'
loop_
_atom_site_label
_atom_site_fract_x
_atom_site_fract_y
_atom_site_fract_z
Al1 0.0000 0.0000 0.0000
W1 0.0000 0.0000 0.2499
Br1 0.0000 0.0000 0.5000
```

Most stable: (c). Least stable: (b).